[1]
Density functional theory data (PBE) for Li2ScCl after structural relaxation.

```
Li2ScCl
1.0
2.584 -5.115 0.000
2.584 5.115 0.000
-0.013 0.000 3.265
Li Sc Cl
2 1 1
direct
0.000 0.500 0.000
0.500 0.000 0.000
0.000 0.000 0.500
0.500 0.500 0.500
```

Summary:
- Excess energy over the best structure of this formula in the dataset: 0.275 eV/atom
- Calculated total energy: -13.6 eV per cell
- Formation energy (no corrections): -0.388 eV per atom



[2]
Density functional theory data (PBE) for PaCu2PO8 after structural relaxation.

```
PaCu2PO8
1.0
4.942 0.000 0.000
-2.471 4.280 0.000
0.000 0.000 5.879
Pa Cu P O
1 2 1 8
direct
0.000 0.000 0.000
0.333 0.667 0.376
0.667 0.333 0.624
0.000 0.000 0.500
0.157 0.315 0.673
0.157 0.843 0.673
0.315 0.157 0.327
0.333 0.667 0.066
0.667 0.333 0.934
0.685 0.843 0.673
0.843 0.157 0.327
0.843 0.685 0.327
```

Summary:
- Calculated total energy: -77.4 eV per cell
- Formation energy (no corrections): -1.222 eV per atom



[3]
Density functional theory data (PBE) for KGa3Sb3 after structural relaxation.

```
KGa3Sb3
1.0
7.726 0.000 0.000
0.000 7.726 0.000
0.000 0.000 7.726
K Ga Sb
2 6 6
direct
0.000 0.000 0.000
0.500 0.500 0.500
0.000 0.250 0.500
0.000 0.750 0.500
0.250 0.500 0.000
0.500 0.000 0.250
0.500 0.000 0.750
0.750 0.500 0.000
0.000 0.500 0.250
0.000 0.500 0.750
0.250 0.000 0.500
0.500 0.250 0.000
0.500 0.750 0.000
0.750 0.000 0.500
```

Summary:
- Excess energy over the best structure of this formula in the dataset: 0.016 eV/atom
- Calculated total energy: -47.3 eV per cell
- Formation energy (no corrections): -0.158 eV per atom



[4]
Density functional theory data (PBE) for CrSnH2Os after structural relaxation.

```
CrSnH2Os
1.0
3.512 0.000 0.000
0.000 3.512 0.000
0.000 0.000 5.713
Cr Sn H Os
1 1 2 1
direct
0.000 0.000 0.000
0.000 0.000 0.500
0.000 0.500 0.500
0.500 0.000 0.500
0.500 0.500 0.000
```

Summary:
- Calculated total energy: -26.1 eV per cell



[5]
Density functional theory data (PBE) for HgIr2Br after structural relaxation.

```
HgIr2Br
1.0
3.053 -3.830 0.000
3.053 3.830 0.000
0.000 0.000 3.011
Hg Ir Br
1 2 1
direct
0.000 0.000 0.000
0.000 0.500 0.500
0.500 0.000 0.500
0.500 0.500 0.000
```

Summary:
- Excess energy over the best structure of this formula in the dataset: 0.661 eV/atom
- Calculated total energy: -15.4 eV per cell
- Formation energy (no corrections): 1.083 eV per atom



[6]
Density functional theory data (PBE) for Y3BiSb after structural relaxation.

```
Y3BiSb
1.0
5.661 0.000 0.000
0.000 5.661 0.000
0.000 0.000 5.661
Y Bi Sb
3 1 1
direct
0.000 0.000 0.500
0.000 0.500 0.000
0.500 0.000 0.000
0.500 0.500 0.500
0.000 0.000 0.000
```

Summary:
- Excess energy over the best structure of this formula in the dataset: 0.600 eV/atom
- Calculated total energy: -28.3 eV per cell
- Formation energy (no corrections): -0.190 eV per atom



[7]
Density functional theory data (PBE) for CsK2Rb after structural relaxation.

```
CsK2Rb
1.0
4.337 -2.505 0.000
4.337 2.505 0.000
-2.969 0.000 16.004
Cs K Rb
1 2 1
direct
0.000 0.000 0.000
0.581 0.581 0.742
0.753 0.753 0.258
0.167 0.167 0.500
```

Summary:
- Excess energy over the best structure of this formula in the dataset: 0.009 eV/atom
- Calculated total energy: -3.9 eV per cell
- Energy relative to the elements: 0.017 eV per atom



[8]
Density functional theory data (PBE) for ErPaRuAu after structural relaxation.

```
ErPaRuAu
1.0
0.000 3.503 3.503
3.503 0.000 3.503
3.503 3.503 0.000
Er Pa Ru Au
1 1 1 1
direct
0.000 0.000 0.000
0.500 0.500 0.500
0.250 0.250 0.250
0.750 0.750 0.750
```

Summary:
- Calculated total energy: -28.2 eV per cell
- Energy relative to the elements: -0.388 eV per atom



[9]
Density functional theory data (PBE) for Cs3Sm3NbSe8 after structural relaxation.

```
Cs3Sm3NbSe8
1.0
4.189 2.419 8.572
-4.189 2.419 8.572
0.000 -4.837 8.572
Cs Sm Nb Se
3 3 1 8
direct
0.000 0.500 0.500
0.500 0.000 0.500
0.500 0.500 0.000
0.000 0.000 0.500
0.000 0.500 0.000
0.500 0.000 0.000
0.500 0.500 0.500
0.230 0.230 0.230
0.252 0.713 0.713
0.287 0.287 0.748
0.287 0.748 0.287
0.713 0.252 0.713
0.713 0.713 0.252
0.748 0.287 0.287
0.770 0.770 0.770
```

Summary:
- Calculated total energy: -77.0 eV per cell
- Formation energy (no corrections): -1.490 eV per atom



[10]
Density functional theory data (PBE) for RbCrNi3 after structural relaxation.

```
RbCrNi3
1.0
4.573 0.000 0.000
0.000 4.573 0.000
0.000 0.000 4.573
Rb Cr Ni
1 1 3
direct
0.000 0.000 0.000
0.500 0.500 0.500
0.000 0.500 0.500
0.500 0.000 0.500
0.500 0.500 0.000
```

Summary:
- Excess energy over the best structure of this formula in the dataset: 0.000 eV/atom
- Calculated total energy: -22.4 eV per cell
- Energy relative to the elements: 1.111 eV per atom



[11]
Density functional theory data (PBE) for CeMg2Ga2Au2 after structural relaxation.

```
CeMg2Ga2Au2
1.0
2.248 1.298 8.379
-2.248 1.298 8.379
0.000 -2.596 8.379
Ce Mg Ga Au
1 2 2 2
direct
0.000 0.000 0.000
0.134 0.134 0.134
0.866 0.866 0.866
0.403 0.403 0.403
0.597 0.597 0.597
0.247 0.247 0.247
0.753 0.753 0.753
```

Summary:
- Calculated total energy: -25.5 eV per cell
- Energy relative to the elements: -0.541 eV per atom



[12]
Density functional theory data (PBE) for RbTl12Cd6 after structural relaxation.

```
RbTl12Cd6
1.0
7.126 4.114 3.448
-7.126 4.114 3.448
0.000 -8.228 3.448
Rb Tl Cd
1 12 6
direct
0.000 0.000 0.000
0.116 0.500 0.884
0.116 0.884 0.500
0.151 0.400 0.400
0.400 0.151 0.400
0.400 0.400 0.151
0.500 0.116 0.884
0.500 0.884 0.116
0.600 0.600 0.849
0.600 0.849 0.600
0.849 0.600 0.600
0.884 0.116 0.500
0.884 0.500 0.116
0.280 0.280 0.715
0.280 0.715 0.280
0.285 0.720 0.720
0.715 0.280 0.280
0.720 0.285 0.720
0.720 0.720 0.285
```

Summary:
- Calculated total energy: -34.1 eV per cell
- Energy relative to the elements: 0.042 eV per atom



> Which formula does entry 10 have?

RbCrNi3



> The lowest calculated total energy belongs to which entry?

PaCu2PO8



> Among the records above, which one has the lowest calculated total energy?

PaCu2PO8